MnSF3: relaxed, PBE+U.

Lattice parameters (Å, degrees): 4.3398 4.3398 4.3398 90.00 90.00 90.00
Sites, in units of the cell vectors:
Mn1 0.0000 0.0000 0.0000
S1 0.5000 0.5000 0.5000
F1 0.0000 0.5000 0.5000
F2 0.5000 0.0000 0.5000
F3 0.5000 0.5000 0.0000

Properties
Volume   16.3 A^3/atom
Magnetization   1.137 μB/atom
Energy above the most stable polymorph in this dataset   787 meV/atom
Crystal system   cubic
DFT total energy   -4.013 eV per atom